# 1
# Tc2P2I

A geometry-optimized Tc2P2I structure (PBE, Alexandria).

Calculated values
Formation energy (no corrections)   0.486 eV per atom
Excess energy over the best structure of this formula in the dataset   506 meV/atom
Total magnetic moment   0.0 Bohr magnetons per cell
DOS at the Fermi energy   1.350 states/eV/atom
Mass density   7.35 Mg/m³
Final energy   -0.4509 Ry per atom

abc: 7.636 7.636 2.983
angles: 90.00 90.00 90.00
Sites, in units of the cell vectors:
I (0.000, 0.000, 0.000)
I (0.500, 0.500, 0.000)
P (0.379, 0.879, 0.000)
P (0.879, 0.621, 0.000)
P (0.621, 0.121, 0.000)
P (0.121, 0.379, 0.000)
Tc (0.134, 0.634, 0.500)
Tc (0.634, 0.866, 0.500)
Tc (0.866, 0.366, 0.500)
Tc (0.366, 0.134, 0.500)

---

# 2
# TlTcPI2

A geometry-optimized TlTcPI2 structure (PBE, Alexandria).

Calculated values
Formation energy (no corrections)   1.114 eV per atom
Total magnetic moment   4.6 Bohr magnetons per cell
DOS at the Fermi energy   0.695 states/eV/atom
Mass density   5.77 Mg/m³
Final energy   -0.2304 Ry per atom

abc: 5.461 5.664 5.461
angles: 90.00 90.00 90.00
Site moments in Bohr magnetons follow the coordinates.
Sites, in units of the cell vectors:
I (0.000, 0.000, 0.500)  0.04
I (0.500, 0.000, 0.000)  0.05
P (0.000, 0.000, 0.000)  -0.03
Tl (0.000, 0.500, 0.000)  -0.01
Tc (0.500, 0.500, 0.500)  3.73

---

# 3
# TePI

A geometry-optimized TePI structure (PBE, Alexandria).

Calculated values
Formation energy (no corrections)   0.069 eV per atom
Total magnetic moment   0.0 Bohr magnetons per cell
Mass density   3.95 Mg/m³
Final energy   -0.2424 Ry per atom

abc: 5.502 5.953 7.667
angles: 97.71 93.59 104.23
Sites, in units of the cell vectors:
Te (0.621, 0.333, 0.846)
Te (0.227, 0.139, 0.028)
P (0.841, 0.005, 0.797)
P (0.053, 0.097, 0.569)
I (0.690, 0.953, 0.332)
I (0.129, 0.537, 0.575)

---

# 4
# TeP2I

A geometry-optimized TeP2I structure (PBE, Alexandria).

Calculated values
Formation energy (no corrections)   0.664 eV per atom
Excess energy over the best structure of this formula in the dataset   0 meV/atom
Total magnetic moment   0.0 Bohr magnetons per cell
DOS at the Fermi energy   0.804 states/eV/atom
Mass density   4.65 Mg/m³
Final energy   -0.2362 Ry per atom

abc: 7.376 7.376 6.669
angles: 56.43 56.43 90.00
Sites, in units of the cell vectors:
I (0.000, 0.000, 0.000)
I (0.750, 0.250, 0.500)
P (0.597, 0.125, 0.250)
P (0.153, 0.625, 0.250)
P (0.375, 0.403, 0.750)
P (0.875, 0.847, 0.750)
Te (0.500, 0.500, 0.000)
Te (0.250, 0.750, 0.500)